(1)
Tm3Pu2S4, relaxed, DFT GGA-PBE; formation energy from raw total energies = -1600 meV per atom; space-group type = C2/m, No. 12
1.0
-1.0547 -0.9561 -3.5161
-4.0555 -5.2523 0.5985
-8.0355 3.2918 -0.5309
Tm Pu S
3 2 4
Direct
0.0000 0.0000 0.0000 Tm
0.2015 0.3944 0.2026 Tm
0.7985 0.6056 0.7974 Tm
0.5941 0.2203 0.5914 Pu
0.4059 0.7797 0.4086 Pu
0.8049 0.0932 0.2970 S
0.1951 0.9068 0.7030 S
0.3943 0.3036 0.9078 S
0.6057 0.6964 0.0922 S



(2)
K12Cd5Au3, relaxed, DFT GGA-PBE; formation energy from the elements = 1.55 eV/f.u.; space-group type = Ia-3d, No. 230
1.0
17.5402 0.0000 0.0000
-5.8467 16.5370 0.0000
-5.8467 -8.2685 14.3215
Au Cd K
12 20 48
Direct
0.7500 0.3750 0.1250 Au
0.8750 0.7500 0.1250 Au
0.3750 0.7500 0.6250 Au
0.2500 0.1250 0.3750 Au
0.8750 0.1250 0.2500 Au
0.3750 0.6250 0.2500 Au
0.6250 0.3750 0.7500 Au
0.1250 0.8750 0.7500 Au
0.7500 0.8750 0.6250 Au
0.6250 0.2500 0.3750 Au
0.1250 0.2500 0.8750 Au
0.2500 0.6250 0.8750 Au
0.1250 0.3750 0.2500 Cd
0.0000 0.5000 0.0000 Cd
0.0000 0.0000 0.0000 Cd
0.3750 0.2500 0.1250 Cd
0.5000 0.0000 0.5000 Cd
0.5000 0.5000 0.0000 Cd
0.1250 0.7500 0.3750 Cd
0.7500 0.1250 0.8750 Cd
0.7500 0.6250 0.3750 Cd
0.3750 0.1250 0.7500 Cd
0.6250 0.8750 0.2500 Cd
0.5000 0.5000 0.5000 Cd
0.5000 0.0000 0.0000 Cd
0.0000 0.0000 0.5000 Cd
0.2500 0.3750 0.6250 Cd
0.2500 0.8750 0.1250 Cd
0.0000 0.5000 0.5000 Cd
0.8750 0.2500 0.6250 Cd
0.6250 0.7500 0.8750 Cd
0.8750 0.6250 0.7500 Cd
0.7362 0.1311 0.0654 K
0.3292 0.5654 0.4342 K
0.9346 0.3689 0.2638 K
0.5654 0.2362 0.1311 K
0.6051 0.7362 0.6708 K
0.9346 0.5658 0.1708 K
0.3292 0.7638 0.3949 K
0.0658 0.8949 0.1311 K
0.5658 0.9346 0.6708 K
0.7362 0.6051 0.1708 K
0.7638 0.4346 0.3689 K
0.8292 0.9342 0.0654 K
0.1311 0.7362 0.5654 K
0.3689 0.4342 0.1051 K
0.1051 0.9342 0.3689 K
0.3949 0.1311 0.5658 K
0.1051 0.1708 0.2362 K
0.4346 0.6708 0.0658 K
0.8292 0.8949 0.2638 K
0.1311 0.3949 0.0658 K
0.3689 0.9346 0.7638 K
0.5658 0.6311 0.3949 K
0.9342 0.8292 0.5654 K
0.7638 0.3292 0.8949 K
0.4342 0.3689 0.6051 K
0.0658 0.1708 0.4346 K
0.2362 0.6708 0.1051 K
0.1708 0.1051 0.7362 K
0.6311 0.0654 0.2362 K
0.8689 0.6051 0.9342 K
0.5654 0.3292 0.9342 K
0.6051 0.8689 0.4342 K
0.8949 0.8292 0.7638 K
0.8949 0.0658 0.6311 K
0.8689 0.2638 0.4346 K
0.1708 0.0658 0.9346 K
0.6311 0.5658 0.8949 K
0.4342 0.0654 0.3292 K
0.2638 0.3949 0.8292 K
0.2362 0.5654 0.6311 K
0.9342 0.1051 0.8689 K
0.6708 0.2362 0.6051 K
0.4346 0.7638 0.8689 K
0.0654 0.4342 0.8292 K
0.3949 0.2638 0.3292 K
0.0654 0.6311 0.7362 K
0.6708 0.4346 0.5658 K
0.2638 0.8689 0.9346 K



(3)
Th5TcBi3, relaxed, DFT GGA-PBE; formation energy from the elements = -4.48 eV/f.u.; space-group type = P6_3/mcm, No. 193
1.0
6.5809 0.0000 0.0000
0.0000 8.4210 -4.8618
0.0000 0.0000 9.7237
Th Tc Bi
10 2 6
Direct
0.0000 0.3333 0.6667 Th
0.5000 0.6667 0.3333 Th
0.0000 0.6667 0.3333 Th
0.5000 0.3333 0.6667 Th
0.7500 0.7600 0.0000 Th
0.7500 0.2400 0.2400 Th
0.7500 0.0000 0.7600 Th
0.2500 0.2400 0.0000 Th
0.2500 0.7600 0.7600 Th
0.2500 0.0000 0.2400 Th
0.0000 0.0000 0.0000 Tc
0.5000 0.0000 0.0000 Tc
0.7500 0.3967 0.0000 Bi
0.7500 0.6033 0.6033 Bi
0.7500 0.0000 0.3967 Bi
0.2500 0.6033 0.0000 Bi
0.2500 0.3967 0.3967 Bi
0.2500 0.0000 0.6033 Bi



(4)
Tb5MgSe6, relaxed, DFT GGA-PBE; formation energy from raw total energies = -1656 meV per atom; space-group type = C2/m, No. 12
1.0
6.9437 0.1760 1.0585
1.7119 5.8992 3.4395
0.1136 0.0441 7.0726
Mg Tb Se
1 5 6
Direct
0.0000 0.0000 0.0000 Mg
0.5000 0.1719 0.6562 Tb
0.0000 0.3330 0.3340 Tb
0.5000 0.5000 0.0000 Tb
0.0000 0.6670 0.6660 Tb
0.5000 0.8281 0.3438 Tb
0.7594 0.0798 0.3178 Se
0.2406 0.6023 0.3178 Se
0.2428 0.2356 0.0000 Se
0.7572 0.7644 0.0000 Se
0.7594 0.3977 0.6822 Se
0.2406 0.9202 0.6822 Se



Question: What is the formula in the third record?
Answer: Th5TcBi3